The following is a GGA+U calculation of a relaxed structure of NpMnGeO6, from Alexandria.

```
data_NpMnGeO6
_space_group_name_H-M_alt 'P 1'
_space_group_IT_number 1
_space_group_name_Hall 'P 1'
_cell_length_a 5.245
_cell_length_b 5.245
_cell_length_c 9.384
_cell_angle_alpha 90.00
_cell_angle_beta 90.00
_cell_angle_gamma 120.00
loop_
_atom_site_label
_atom_site_fract_x
_atom_site_fract_y
_atom_site_fract_z
Ge1 0.333 0.667 0.250
Mn1 0.000 0.000 0.000
O1 0.362 0.022 0.636
O2 0.339 0.978 0.136
O3 0.978 0.339 0.636
O4 0.638 0.978 0.364
O5 0.022 0.661 0.364
Mn2 0.000 0.000 0.500
O6 0.022 0.362 0.136
O7 0.661 0.638 0.636
O8 0.978 0.638 0.864
Np1 0.333 0.667 0.750
O9 0.339 0.362 0.364
O10 0.661 0.022 0.864
O11 0.362 0.339 0.864
Ge2 0.667 0.333 0.750
O12 0.638 0.661 0.136
Np2 0.667 0.333 0.250
```

Symmetry: P-31c
E, eV/atom: -8.138